Material: MnRe2Se
Method: DFT, PBE-GGA
State: relaxed

Lattice parameters (Å, degrees): 5.360 5.360 5.360 147.83 132.78 58.29
Last column: magnetic moment on the atom in μB.
Element x y z (fractional)
Se 0.750 0.250 0.500  -0.06
Re 0.534 0.534 0.000  -0.26
Re 0.966 0.966 0.000  -0.26
Mn 0.250 0.750 0.500  2.61

Values from the calculation:
Volume   59.7 Å³/f.u.
D(E_F)   3.56 states/eV/f.u.
Raw formation energy   0.4576 eV per atom
Calculated total energy   -0.3282 Ha/atom
M_tot   2.01 μB per formula unit

=====

Material: PmHg8
Method: DFT, PBE-GGA
State: relaxed

Lattice parameters (Å, degrees): 4.519 7.487 7.487 84.77 72.43 72.43
Element x y z (fractional)
Hg 0.000 0.335 0.665
Hg 0.332 0.336 0.000
Hg 0.332 0.000 0.336
Hg 0.000 0.665 0.335
Hg 0.335 0.665 0.665
Hg 0.665 0.335 0.335
Hg 0.668 0.000 0.664
Hg 0.668 0.664 0.000
Pm 0.000 0.000 0.000

Values from the calculation:
Volume   230.3 Å³/f.u.
Formation energy from the elements   -162 meV per atom
D(E_F)   4.04 states/eV/f.u.
Calculated total energy   -0.0352 Ha/atom
M_tot   0.00 μB per formula unit

=====

Material: MgZn2AgP
Method: DFT, PBE-GGA
State: relaxed

Lattice parameters (Å, degrees): 4.815 4.812 4.815 90.00 90.00 90.00
Element x y z (fractional)
P 0.000 0.000 0.000
Zn 0.000 0.000 0.500
Zn 0.500 0.000 0.000
Mg 0.500 0.500 0.500
Ag 0.000 0.500 0.000

Values from the calculation:
Volume   111.6 Å³/f.u.
Formation energy from the elements   319 meV per atom
D(E_F)   2.05 states/eV/f.u.
Calculated total energy   -0.0794 Ha/atom
M_tot   0.00 μB per formula unit